(1)
A plane-wave DFT calculation with PBE was carried out for a relaxed Pr2NdTm6 crystal.

Output
The value obtained for the magnetic moment is 0.000 μB per formula unit. Its crystal system is trigonal. Its space group is P-3. For the offset from the most stable computed form, the calculation gives 0.00 eV/f.u. The energy relative to the elements comes out at 0.7 eV/f.u.

abc: 3.532 9.707 9.707
angles: 120.00 90.00 90.00
Sites, in units of the cell vectors:
Pr  0.262  0.667  0.333
Pr  0.738  0.333  0.667
Nd  0.500  0.000  0.000
Tm  0.230  0.650  0.672
Tm  0.230  0.021  0.350
Tm  0.230  0.328  0.979
Tm  0.770  0.350  0.328
Tm  0.770  0.979  0.650
Tm  0.770  0.672  0.021

(2)
A plane-wave DFT calculation with PBE was carried out for a relaxed PrNd6Tm3 crystal.

Output
The value obtained for the magnetic moment is 0.000 μB per formula unit. Its crystal system is orthorhombic. Its space group is Cmc2_1. For the offset from the most stable computed form, the calculation gives 0.00 eV/f.u. The energy relative to the elements comes out at 1.3 eV/f.u.

abc: 6.492 11.793 11.793
angles: 130.82 90.00 90.00
Sites, in units of the cell vectors:
Pr  0.007  0.155  0.845
Pr  0.507  0.845  0.155
Nd  0.080  0.737  0.620
Nd  0.580  0.620  0.737
Nd  0.330  0.455  0.892
Nd  0.830  0.892  0.455
Nd  0.280  0.986  0.014
Nd  0.805  0.300  0.700
Nd  0.305  0.700  0.300
Nd  0.780  0.014  0.986
Nd  0.330  0.108  0.545
Nd  0.830  0.545  0.108
Nd  0.080  0.380  0.263
Nd  0.580  0.263  0.380
Tm  0.487  0.958  0.704
Tm  0.987  0.704  0.958
Tm  0.101  0.418  0.582
Tm  0.601  0.582  0.418
Tm  0.987  0.042  0.296
Tm  0.487  0.296  0.042

(3)
A plane-wave DFT calculation with PBE was carried out for a relaxed Pr4Nd4Tm crystal.

Output
The value obtained for the magnetic moment is 0.000 μB per formula unit. Its crystal system is monoclinic. Its space group is C2/m. The energy relative to the elements comes out at 0.1 eV/f.u.

abc: 5.206 8.220 9.703
angles: 53.76 74.44 71.54
Sites, in units of the cell vectors:
Pr  0.279  0.110  0.332
Pr  0.721  0.890  0.668
Pr  0.835  0.330  0.000
Pr  0.165  0.670  0.000
Nd  0.610  0.448  0.331
Nd  0.945  0.777  0.333
Nd  0.390  0.552  0.669
Nd  0.055  0.223  0.667
Tm  0.500  0.000  0.000

(4)
A plane-wave DFT calculation with PBE was carried out for a relaxed Pr12Nd7Tm crystal.

Output
The value obtained for the magnetic moment is 0.000 μB per formula unit. Its crystal system is trigonal. Its space group is R-3. For the offset from the most stable computed form, the calculation gives 0.00 eV/f.u. The energy relative to the elements comes out at 4.1 eV/f.u.

abc: 6.396 11.653 11.653
angles: 116.73 100.54 100.54
Sites, in units of the cell vectors:
Pr  0.090  0.590  0.179
Pr  0.088  0.179  0.589
Pr  0.581  0.645  0.000
Pr  0.419  0.000  0.355
Pr  0.499  0.411  0.590
Pr  0.064  0.645  0.645
Pr  0.936  0.355  0.355
Pr  0.501  0.589  0.410
Pr  0.581  0.000  0.645
Pr  0.419  0.355  0.000
Pr  0.912  0.821  0.411
Pr  0.910  0.410  0.821
Nd  0.122  0.751  0.000
Nd  0.877  0.000  0.249
Nd  0.628  0.751  0.751
Nd  0.500  0.000  0.000
Nd  0.372  0.249  0.249
Nd  0.123  0.000  0.751
Nd  0.878  0.249  0.000
Tm  0.000  0.000  0.000

(5)
A plane-wave DFT calculation with PBE was carried out for a relaxed PrNd12Tm6 crystal.

Output
The value obtained for the magnetic moment is 0.000 μB per formula unit. Its crystal system is trigonal. Its space group is R-3. For the offset from the most stable computed form, the calculation gives 0.00 eV/f.u. The energy relative to the elements comes out at 2.5 eV/f.u.

abc: 8.672 8.672 8.672
angles: 88.80 88.80 88.80
Sites, in units of the cell vectors:
Pr  0.000  0.000  0.000
Nd  0.782  0.536  0.433
Nd  0.433  0.782  0.536
Nd  0.536  0.433  0.782
Nd  0.218  0.464  0.567
Nd  0.567  0.218  0.464
Nd  0.464  0.567  0.218
Nd  0.017  0.196  0.364
Nd  0.804  0.636  0.983
Nd  0.636  0.983  0.804
Nd  0.983  0.804  0.636
Nd  0.196  0.364  0.017
Nd  0.364  0.017  0.196
Tm  0.742  0.900  0.299
Tm  0.701  0.258  0.100
Tm  0.100  0.701  0.258
Tm  0.258  0.100  0.701
Tm  0.299  0.742  0.900
Tm  0.900  0.299  0.742

(6)
A plane-wave DFT calculation with PBE was carried out for a relaxed Pr4Nd8Tm3 crystal.

Output
The value obtained for the magnetic moment is 0.006 μB per formula unit. Its crystal system is monoclinic. Its space group is C2/m. For the offset from the most stable computed form, the calculation gives 3.31 eV/f.u. The energy relative to the elements comes out at 5.0 eV/f.u.

abc: 6.890 9.465 9.465
angles: 86.72 111.42 111.42
Sites, in units of the cell vectors:
Pr  0.500  0.000  0.000
Pr  0.000  0.500  0.000
Pr  0.000  0.000  0.000
Pr  0.000  0.000  0.500
Nd  0.501  0.261  0.261
Nd  0.000  0.645  0.355
Nd  0.991  0.274  0.274
Nd  0.500  0.745  0.255
Nd  0.500  0.255  0.745
Nd  0.009  0.726  0.726
Nd  0.000  0.355  0.645
Nd  0.499  0.739  0.739
Tm  0.500  0.500  0.000
Tm  0.500  0.000  0.500
Tm  0.500  0.500  0.500

(7)
A plane-wave DFT calculation with PBE was carried out for a relaxed PrNd5Tm2 crystal.

Output
The value obtained for the magnetic moment is 0.000 μB per formula unit. Its crystal system is orthorhombic. Its space group is Pbam. For the offset from the most stable computed form, the calculation gives 0.00 eV/f.u. The energy relative to the elements comes out at 0.1 eV/f.u.

abc: 5.131 7.269 14.537
angles: 90.00 90.00 90.00
Sites, in units of the cell vectors:
Pr  0.000  0.000  0.500
Pr  0.000  0.500  0.000
Nd  0.000  0.000  0.000
Nd  0.000  0.500  0.500
Nd  0.000  0.499  0.750
Nd  0.000  0.501  0.250
Nd  0.000  0.001  0.250
Nd  0.000  0.999  0.750
Nd  0.500  0.249  0.875
Nd  0.500  0.751  0.125
Nd  0.500  0.251  0.375
Nd  0.500  0.749  0.625
Tm  0.500  0.250  0.625
Tm  0.500  0.750  0.375
Tm  0.500  0.250  0.125
Tm  0.500  0.750  0.875

(8)
A plane-wave DFT calculation with PBE was carried out for a relaxed Pr4NdTm2 crystal.

Output
The value obtained for the magnetic moment is 0.000 μB per formula unit. Its crystal system is monoclinic. Its space group is Cc. For the offset from the most stable computed form, the calculation gives 0.00 eV/f.u. The energy relative to the elements comes out at 0.5 eV/f.u.

abc: 12.685 12.685 6.880
angles: 96.98 96.98 150.26
Sites, in units of the cell vectors:
Pr  0.717  0.180  0.870
Pr  0.180  0.717  0.370
Pr  0.186  0.792  0.901
Pr  0.792  0.186  0.401
Pr  0.035  0.142  0.599
Pr  0.560  0.597  0.131
Pr  0.597  0.560  0.631
Pr  0.142  0.035  0.099
Nd  0.423  0.673  0.500
Nd  0.673  0.423  0.000
Tm  0.622  0.306  0.449
Tm  0.923  0.106  0.051
Tm  0.106  0.923  0.551
Tm  0.306  0.622  0.949

(9)
A plane-wave DFT calculation with PBE was carried out for a relaxed Pr7NdTm3 crystal.

Output
The value obtained for the magnetic moment is 0.000 μB per formula unit. Its crystal system is trigonal. Its space group is P3m1. For the offset from the most stable computed form, the calculation gives 0.00 eV/f.u. The energy relative to the elements comes out at 2.1 eV/f.u.

abc: 8.693 7.267 7.267
angles: 120.00 90.00 90.00
Sites, in units of the cell vectors:
Pr  0.104  0.167  0.833
Pr  0.104  0.167  0.333
Pr  0.126  0.667  0.333
Pr  0.463  0.834  0.166
Pr  0.463  0.333  0.166
Pr  0.463  0.834  0.667
Pr  0.104  0.667  0.833
Nd  0.441  0.333  0.667
Tm  0.783  0.500  0.500
Tm  0.783  0.500  0.000
Tm  0.783  0.000  0.500

(10)
A plane-wave DFT calculation with PBE was carried out for a relaxed Pr7Nd2Tm2 crystal.

Output
The value obtained for the magnetic moment is 0.000 μB per formula unit. Its crystal system is monoclinic. Its space group is C2/m. For the offset from the most stable computed form, the calculation gives 0.37 eV/f.u. The energy relative to the elements comes out at 1.8 eV/f.u.

abc: 8.563 6.888 6.888
angles: 87.70 79.57 79.57
Sites, in units of the cell vectors:
Pr  0.182  0.096  0.502
Pr  0.818  0.498  0.904
Pr  0.818  0.904  0.498
Pr  0.182  0.502  0.096
Pr  0.000  0.000  0.000
Pr  0.478  0.706  0.706
Pr  0.522  0.294  0.294
Nd  0.835  0.411  0.411
Nd  0.165  0.589  0.589
Tm  0.500  0.198  0.802
Tm  0.500  0.802  0.198

(11)
A plane-wave DFT calculation with PBE was carried out for a relaxed PrNd6Tm crystal.

Output
The value obtained for the magnetic moment is 0.000 μB per formula unit. Its crystal system is tetragonal. Its space group is P4/mmm. The energy relative to the elements comes out at 0.1 eV/f.u.

abc: 5.177 5.177 10.348
angles: 90.00 90.00 90.00
Sites, in units of the cell vectors:
Pr  0.000  0.000  0.000
Nd  0.500  0.500  0.000
Nd  0.500  0.500  0.500
Nd  0.500  0.000  0.254
Nd  0.500  0.000  0.746
Nd  0.000  0.500  0.254
Nd  0.000  0.500  0.746
Tm  0.000  0.000  0.500

(12)
A plane-wave DFT calculation with PBE was carried out for a relaxed Pr3Nd2Tm crystal.

Output
The value obtained for the magnetic moment is 0.000 μB per formula unit. Its crystal system is orthorhombic. Its space group is Pnnm. For the offset from the most stable computed form, the calculation gives 0.80 eV/f.u. The energy relative to the elements comes out at 1.4 eV/f.u.

abc: 3.452 6.836 18.070
angles: 90.00 90.00 90.00
Sites, in units of the cell vectors:
Pr  0.000  0.000  0.000
Pr  0.500  0.500  0.500
Pr  0.500  0.741  0.820
Pr  0.500  0.259  0.180
Pr  0.000  0.241  0.680
Pr  0.000  0.759  0.320
Nd  0.500  0.765  0.149
Nd  0.000  0.265  0.351
Nd  0.000  0.735  0.649
Nd  0.500  0.235  0.851
Tm  0.000  0.000  0.500
Tm  0.500  0.500  0.000

Which value of magnetic moment does entry 4 give? 0.000 μB per formula unit